Compound: NaNiAgAs
Source: Alexandria
Functional: PBE
Structure: optimized geometry

D(E_F) (states/eV/cell): 4.9
Crystal system: tetragonal
Uncorrected energy (eV per atom): -3.8326
Calculated formation energy (eV/atom): -0.182

CIF file:
```
data_NaNiAgAs
_chemical_formula_sum 'Na2 Ni2 Ag2 As2'
_cell_length_a 3.951
_cell_length_b 3.951
_cell_length_c 10.160
_cell_angle_alpha 90.00
_cell_angle_beta 90.00
_cell_angle_gamma 90.00
_space_group_name_H-M_alt 'P 4/n m m'
_space_group_IT_number 129
loop_
_space_group_symop_operation_xyz
'x,y,z'
'-x,-y,-z'
'-y+1/2,x,z'
'y+1/2,-x,-z'
'-x+1/2,-y+1/2,z'
'x+1/2,y+1/2,-z'
'y,-x+1/2,z'
'-y,x+1/2,-z'
'x+1/2,-y,-z'
'-x+1/2,y,z'
'-y,-x,-z'
'y,x,z'
'-x,y+1/2,-z'
'x,-y+1/2,z'
'y+1/2,x+1/2,-z'
'-y+1/2,-x+1/2,z'
loop_
_atom_site_label
_atom_site_type_symbol
_atom_site_fract_x
_atom_site_fract_y
_atom_site_fract_z
Na1 Na 0.250 0.250 0.248
Ni1 Ni 0.250 0.750 0.500
Ag1 Ag 0.250 0.750 0.000
As1 As 0.250 0.250 0.626
```

Compound: Na2AgAsO4
Source: Alexandria
Functional: PBE
Structure: optimized geometry

Formation energy (no corrections) (eV per formula unit): -10.77
Crystal system: orthorhombic
Uncorrected energy (eV per atom): -5.0927

CIF file:
```
data_Na2AgAsO4
_chemical_formula_sum 'Na4 Ag2 As2 O8'
_cell_length_a 7.080
_cell_length_b 6.118
_cell_length_c 5.747
_cell_angle_alpha 90.00
_cell_angle_beta 90.00
_cell_angle_gamma 90.00
_space_group_name_H-M_alt 'P m n 21'
_space_group_IT_number 31
loop_
_space_group_symop_operation_xyz
'x,y,z'
'-x+1/2,-y,z+1/2'
'-x,y,z'
'x+1/2,-y,z+1/2'
loop_
_atom_site_label
_atom_site_type_symbol
_atom_site_fract_x
_atom_site_fract_y
_atom_site_fract_z
Na1 Na 0.247 0.178 0.000
Ag1 Ag 0.000 0.335 0.495
As1 As 0.000 0.677 0.004
O1 O 0.000 0.409 0.911
O2 O 0.000 0.689 0.303
O3 O 0.198 0.814 0.900
```

Compound: NaAg2AsO4
Source: Alexandria
Functional: PBE
Structure: optimized geometry

D(E_F) (states/eV/cell): 0.8
Formation energy (no corrections) (eV per formula unit): -7.67
Crystal system: tetragonal
Uncorrected energy (eV per atom): -4.8969

CIF file:
```
data_NaAg2AsO4
_chemical_formula_sum 'Na2 Ag4 As2 O8'
_cell_length_a 6.198
_cell_length_b 6.198
_cell_length_c 6.205
_cell_angle_alpha 90.00
_cell_angle_beta 90.00
_cell_angle_gamma 90.00
_space_group_name_H-M_alt 'I -4 2 m'
_space_group_IT_number 121
_space_group_name_Hall 'I -4 2'
loop_
_atom_site_label
_atom_site_type_symbol
_atom_site_fract_x
_atom_site_fract_y
_atom_site_fract_z
Na1 Na 0.000 0.000 0.000
Ag1 Ag 0.000 0.500 0.250
As1 As 0.000 0.000 0.500
O1 O 0.159 0.159 0.333
```

Compound: NaAgAsO4
Source: Alexandria
Functional: PBE
Structure: optimized geometry

D(E_F) (states/eV/cell): 0.9
Formation energy (no corrections) (eV per formula unit): -7.18
Crystal system: tetragonal
Uncorrected energy (eV per atom): -5.1188

CIF file:
```
data_NaAgAsO4
_chemical_formula_sum 'Na2 Ag2 As2 O8'
_cell_length_a 5.819
_cell_length_b 5.819
_cell_length_c 6.793
_cell_angle_alpha 90.00
_cell_angle_beta 90.00
_cell_angle_gamma 90.00
_space_group_name_H-M_alt 'I -4'
_space_group_IT_number 82
loop_
_space_group_symop_operation_xyz
'x,y,z'
'y,-x,-z'
'-x,-y,z'
'-y,x,-z'
'x+1/2,y+1/2,z+1/2'
'y+1/2,-x+1/2,-z+1/2'
'-x+1/2,-y+1/2,z+1/2'
'-y+1/2,x+1/2,-z+1/2'
loop_
_atom_site_label
_atom_site_type_symbol
_atom_site_fract_x
_atom_site_fract_y
_atom_site_fract_z
Na1 Na 0.000 0.000 0.000
Ag1 Ag 0.000 0.000 0.500
As1 As 0.000 0.500 0.750
O1 O 0.168 0.316 0.611
```

Compound: NaAgAsPd
Source: Alexandria
Functional: PBE
Structure: optimized geometry

D(E_F) (states/eV/cell): 6.4
Crystal system: cubic
Uncorrected energy (eV per atom): -3.6269
Calculated formation energy (eV/atom): -0.124
Excess energy over the best structure of this formula in the dataset (kJ per mole of atoms): 6.2

CIF file:
```
data_NaAgAsPd
_chemical_formula_sum 'Na4 Ag4 As4 Pd4'
_cell_length_a 6.550
_cell_length_b 6.550
_cell_length_c 6.550
_cell_angle_alpha 90.00
_cell_angle_beta 90.00
_cell_angle_gamma 90.00
_space_group_name_H-M_alt 'F -4 3 m'
_space_group_IT_number 216
_space_group_name_Hall 'F -4 2 3'
loop_
_atom_site_label
_atom_site_type_symbol
_atom_site_fract_x
_atom_site_fract_y
_atom_site_fract_z
Na1 Na 0.000 0.000 0.000
Ag1 Ag 0.250 0.250 0.750
As1 As 0.000 0.000 0.500
Pd1 Pd 0.250 0.250 0.250
```

Compound: NaAgAsPd
Source: Alexandria
Functional: PBE
Structure: optimized geometry

D(E_F) (states/eV/cell): 5.0
Crystal system: tetragonal
Uncorrected energy (eV per atom): -3.6916
Calculated formation energy (eV/atom): -0.188
Excess energy over the best structure of this formula in the dataset (kJ per mole of atoms): 0.0

CIF file:
```
data_NaAgAsPd
_chemical_formula_sum 'Na2 Ag2 As2 Pd2'
_cell_length_a 4.137
_cell_length_b 4.137
_cell_length_c 9.532
_cell_angle_alpha 90.00
_cell_angle_beta 90.00
_cell_angle_gamma 90.00
_space_group_name_H-M_alt 'P 4/n m m'
_space_group_IT_number 129
loop_
_space_group_symop_operation_xyz
'x,y,z'
'-x,-y,-z'
'-y+1/2,x,z'
'y+1/2,-x,-z'
'-x+1/2,-y+1/2,z'
'x+1/2,y+1/2,-z'
'y,-x+1/2,z'
'-y,x+1/2,-z'
'x+1/2,-y,-z'
'-x+1/2,y,z'
'-y,-x,-z'
'y,x,z'
'-x,y+1/2,-z'
'x,-y+1/2,z'
'y+1/2,x+1/2,-z'
'-y+1/2,-x+1/2,z'
loop_
_atom_site_label
_atom_site_type_symbol
_atom_site_fract_x
_atom_site_fract_y
_atom_site_fract_z
Na1 Na 0.250 0.250 0.245
Ag1 Ag 0.250 0.750 0.000
As1 As 0.250 0.250 0.655
Pd1 Pd 0.250 0.750 0.500
```

Compound: NaAgAs2Pt
Source: Alexandria
Functional: PBE
Structure: optimized geometry

D(E_F) (states/eV/cell): 3.9
Crystal system: tetragonal
Uncorrected energy (eV per atom): -3.6278
Calculated formation energy (eV/atom): 0.274

CIF file:
```
data_NaAgAs2Pt
_chemical_formula_sum 'Na1 Ag1 As2 Pt1'
_cell_length_a 4.864
_cell_length_b 4.864
_cell_length_c 5.243
_cell_angle_alpha 90.00
_cell_angle_beta 90.00
_cell_angle_gamma 90.00
_space_group_name_H-M_alt 'P 4/m m m'
_space_group_IT_number 123
_space_group_name_Hall '-P 4 2'
loop_
_atom_site_label
_atom_site_type_symbol
_atom_site_fract_x
_atom_site_fract_y
_atom_site_fract_z
Na1 Na 0.000 0.000 0.000
Ag1 Ag 0.500 0.500 0.000
As1 As 0.000 0.500 0.500
Pt1 Pt 0.000 0.000 0.500
```

Compound: RbNa2AgAs
Source: Alexandria
Functional: PBE
Structure: optimized geometry

D(E_F) (states/eV/cell): 2.1
Crystal system: tetragonal
Uncorrected energy (eV per atom): -2.3634
Calculated formation energy (eV/atom): -0.142

CIF file:
```
data_RbNa2AgAs
_chemical_formula_sum 'Rb1 Na2 Ag1 As1'
_cell_length_a 5.715
_cell_length_b 5.715
_cell_length_c 5.252
_cell_angle_alpha 90.00
_cell_angle_beta 90.00
_cell_angle_gamma 90.00
_space_group_name_H-M_alt 'P 4/m m m'
_space_group_IT_number 123
_space_group_name_Hall '-P 4 2'
loop_
_atom_site_label
_atom_site_type_symbol
_atom_site_fract_x
_atom_site_fract_y
_atom_site_fract_z
Rb1 Rb 0.000 0.000 0.000
Na1 Na 0.000 0.500 0.500
Ag1 Ag 0.500 0.500 0.000
As1 As 0.500 0.500 0.500
```

Compound: RbNaAg2As
Source: Alexandria
Functional: PBE
Structure: optimized geometry

D(E_F) (states/eV/cell): 2.7
Crystal system: tetragonal
Uncorrected energy (eV per atom): -2.1085
Calculated formation energy (eV/atom): 0.419

CIF file:
```
data_RbNaAg2As
_chemical_formula_sum 'Rb1 Na1 Ag2 As1'
_cell_length_a 5.410
_cell_length_b 5.410
_cell_length_c 5.330
_cell_angle_alpha 90.00
_cell_angle_beta 90.00
_cell_angle_gamma 90.00
_space_group_name_H-M_alt 'P 4/m m m'
_space_group_IT_number 123
_space_group_name_Hall '-P 4 2'
loop_
_atom_site_label
_atom_site_type_symbol
_atom_site_fract_x
_atom_site_fract_y
_atom_site_fract_z
Rb1 Rb 0.000 0.000 0.000
Na1 Na 0.500 0.500 0.500
Ag1 Ag 0.000 0.500 0.500
As1 As 0.500 0.500 0.000
```

Compound: NaAgAsRu
Source: Alexandria
Functional: PBE
Structure: optimized geometry

D(E_F) (states/eV/cell): 3.2
Crystal system: tetragonal
Uncorrected energy (eV per atom): -4.7233
Calculated formation energy (eV/atom): -0.199

CIF file:
```
data_NaAgAsRu
_chemical_formula_sum 'Na2 Ag2 As2 Ru2'
_cell_length_a 3.993
_cell_length_b 3.993
_cell_length_c 10.530
_cell_angle_alpha 90.00
_cell_angle_beta 90.00
_cell_angle_gamma 90.00
_space_group_name_H-M_alt 'P 4/n m m'
_space_group_IT_number 129
loop_
_space_group_symop_operation_xyz
'x,y,z'
'-x,-y,-z'
'-y+1/2,x,z'
'y+1/2,-x,-z'
'-x+1/2,-y+1/2,z'
'x+1/2,y+1/2,-z'
'y,-x+1/2,z'
'-y,x+1/2,-z'
'x+1/2,-y,-z'
'-x+1/2,y,z'
'-y,-x,-z'
'y,x,z'
'-x,y+1/2,-z'
'x,-y+1/2,z'
'y+1/2,x+1/2,-z'
'-y+1/2,-x+1/2,z'
loop_
_atom_site_label
_atom_site_type_symbol
_atom_site_fract_x
_atom_site_fract_y
_atom_site_fract_z
Na1 Na 0.250 0.250 0.243
Ag1 Ag 0.250 0.750 0.000
As1 As 0.250 0.250 0.636
Ru1 Ru 0.250 0.750 0.500
```

Compound: NaAgAsSe2
Source: Alexandria
Functional: PBE
Structure: optimized geometry

D(E_F) (states/eV/cell): 3.6
Formation energy (no corrections) (eV per formula unit): 1.20
Crystal system: tetragonal
Uncorrected energy (eV per atom): -2.9186
Excess energy over the best structure of this formula in the dataset (kJ per mole of atoms): 0.0

CIF file:
```
data_NaAgAsSe2
_chemical_formula_sum 'Na1 Ag1 As1 Se2'
_cell_length_a 5.277
_cell_length_b 5.277
_cell_length_c 4.908
_cell_angle_alpha 90.00
_cell_angle_beta 90.00
_cell_angle_gamma 90.00
_space_group_name_H-M_alt 'P 4/m m m'
_space_group_IT_number 123
_space_group_name_Hall '-P 4 2'
loop_
_atom_site_label
_atom_site_type_symbol
_atom_site_fract_x
_atom_site_fract_y
_atom_site_fract_z
Na1 Na 0.000 0.000 0.000
Ag1 Ag 0.500 0.500 0.500
As1 As 0.500 0.500 0.000
Se1 Se 0.000 0.500 0.500
```

Compound: NaAgAsSe2
Source: Alexandria
Functional: PBE
Structure: optimized geometry

D(E_F) (states/eV/cell): 5.9
Formation energy (no corrections) (eV per formula unit): 4.08
Crystal system: tetragonal
Uncorrected energy (eV per atom): -2.3427
Excess energy over the best structure of this formula in the dataset (kJ per mole of atoms): 55.6

CIF file:
```
data_NaAgAsSe2
_chemical_formula_sum 'Na1 Ag1 As1 Se2'
_cell_length_a 5.141
_cell_length_b 5.141
_cell_length_c 5.013
_cell_angle_alpha 90.00
_cell_angle_beta 90.00
_cell_angle_gamma 90.00
_space_group_name_H-M_alt 'P 4/m m m'
_space_group_IT_number 123
_space_group_name_Hall '-P 4 2'
loop_
_atom_site_label
_atom_site_type_symbol
_atom_site_fract_x
_atom_site_fract_y
_atom_site_fract_z
Na1 Na 0.000 0.000 0.000
Ag1 Ag 0.500 0.500 0.500
As1 As 0.000 0.000 0.500
Se1 Se 0.000 0.500 0.000
```

What is the uncorrected energy in the first record?
-3.8326 eV per atom

Look up the uncorrected energy of the ninth one.
-2.1085 eV per atom